{
  "formula": "ReRhW2",
  "functional": "PBE",
  "state": "relaxed",
  "lattice_angstrom": [[1.035, 2.516, 0.228], [-1.322, -0.428, 2.350], [7.140, -3.246, 3.426]],
  "species": ["Rh", "Re", "W", "W"],
  "fractional_positions": [[0.500, 0.500, 0.000], [0.500, 0.500, 0.500], [0.000, 0.000, 0.245], [0.000, 0.000, 0.755]],
  "final_energy_ev_per_cell": -45.389
}